# 1
Compound: Nb2GaAu
Source: Alexandria
Functional: PBE
Structure: relaxed

Formation energy from the elements   -0.028 eV/atom

Geometry as CIF:
```
data_Nb2GaAu
_chemical_formula_sum 'Nb6 Ga3 Au3'
_space_group_name_H-M_alt 'R 3 m'
_space_group_IT_number 160
_space_group_name_Hall 'R 3 -2"'
_cell_length_a 2.9343
_cell_length_b 2.9343
_cell_length_c 28.4454
_cell_angle_alpha 90.00
_cell_angle_beta 90.00
_cell_angle_gamma 120.00
loop_
_atom_site_label
_atom_site_fract_x
_atom_site_fract_y
_atom_site_fract_z
_atom_site_occupancy
Nb1 0.0000 0.0000 0.0000 1
Nb2 0.0000 0.0000 0.1701 1
Ga1 0.0000 0.0000 0.5849 1
Au1 0.0000 0.0000 0.7517 1
```

---

# 2
Compound: Nb2GaAu
Source: Alexandria
Functional: PBE
Structure: relaxed

Formation energy from the elements   -0.121 eV/atom

Geometry as CIF:
```
data_Nb2GaAu
_chemical_formula_sum 'Nb8 Ga4 Au4'
_space_group_name_H-M_alt 'C 1 2/m 1'
_space_group_IT_number 12
_cell_length_a 12.266
_cell_length_b 3.388
_cell_length_c 6.975
_cell_angle_alpha 90.00
_cell_angle_beta 94.64
_cell_angle_gamma 90.00
loop_
_space_group_symop_operation_xyz
'x,y,z'
'-x,-y,-z'
'-x,y,-z'
'x,-y,z'
'x+1/2,y+1/2,z'
'-x+1/2,-y+1/2,-z'
'-x+1/2,y+1/2,-z'
'x+1/2,-y+1/2,z'
loop_
_atom_site_label
_atom_site_fract_x
_atom_site_fract_y
_atom_site_fract_z
_atom_site_occupancy
Nb1 0.061 0.000 0.272 1
Nb2 0.242 0.500 0.316 1
Ga1 0.095 0.500 0.582 1
Au1 0.124 0.500 0.955 1
```

---

# 3
Compound: Nb2Ga2Au
Source: Alexandria
Functional: PBE
Structure: relaxed

Formation energy from the elements   -0.183 eV/atom
Offset from the most stable computed form   0.025 eV per atom

Geometry as CIF:
```
data_Nb2Ga2Au
_chemical_formula_sum 'Nb2 Ga2 Au1'
_space_group_name_H-M_alt 'P 1 2/m 1'
_space_group_IT_number 10
_cell_length_a 4.433
_cell_length_b 2.959
_cell_length_c 6.817
_cell_angle_alpha 90.00
_cell_angle_beta 108.90
_cell_angle_gamma 90.00
loop_
_space_group_symop_operation_xyz
'x,y,z'
'-x,-y,-z'
'-x,y,-z'
'x,-y,z'
loop_
_atom_site_label
_atom_site_fract_x
_atom_site_fract_y
_atom_site_fract_z
_atom_site_occupancy
Nb1 0.107 0.000 0.215 1
Ga1 0.301 0.500 0.601 1
Au1 0.500 0.500 0.000 1
```

---

# 4
Compound: Nb7Ga5Au
Source: Alexandria
Functional: PBE
Structure: relaxed

Formation energy from the elements   -0.111 eV/atom

Geometry as CIF:
```
data_Nb7Ga5Au
_chemical_formula_sum 'Nb14 Ga10 Au2'
_space_group_name_H-M_alt 'I m m 2'
_space_group_IT_number 44
_cell_length_a 5.343
_cell_length_b 9.253
_cell_length_c 9.309
_cell_angle_alpha 90.00
_cell_angle_beta 90.00
_cell_angle_gamma 90.00
loop_
_space_group_symop_operation_xyz
'x,y,z'
'-x,-y,z'
'-x,y,z'
'x,-y,z'
'x+1/2,y+1/2,z+1/2'
'-x+1/2,-y+1/2,z+1/2'
'-x+1/2,y+1/2,z+1/2'
'x+1/2,-y+1/2,z+1/2'
loop_
_atom_site_label
_atom_site_fract_x
_atom_site_fract_y
_atom_site_fract_z
_atom_site_occupancy
Nb1 0.000 0.000 0.000 1
Nb2 0.000 0.000 0.273 1
Nb3 0.000 0.321 0.132 1
Nb4 0.000 0.344 0.631 1
Nb5 0.000 0.500 0.368 1
Ga1 0.000 0.500 0.893 1
Ga2 0.250 0.249 0.383 1
Au1 0.000 0.000 0.680 1
```

---

# 5
Compound: NbGaAu2
Source: Alexandria
Functional: PBE
Structure: relaxed

Formation energy from the elements   -0.065 eV/atom

Geometry as CIF:
```
data_NbGaAu2
_chemical_formula_sum 'Nb2 Ga2 Au4'
_space_group_name_H-M_alt 'C 1 m 1'
_space_group_IT_number 8
_cell_length_a 4.653
_cell_length_b 3.337
_cell_length_c 9.476
_cell_angle_alpha 90.00
_cell_angle_beta 101.61
_cell_angle_gamma 90.00
loop_
_space_group_symop_operation_xyz
'x,y,z'
'x,-y,z'
'x+1/2,y+1/2,z'
'x+1/2,-y+1/2,z'
loop_
_atom_site_label
_atom_site_fract_x
_atom_site_fract_y
_atom_site_fract_z
_atom_site_occupancy
Nb1 0.000 0.000 0.000 1
Ga1 0.107 0.000 0.499 1
Au1 0.207 0.500 0.250 1
Au2 0.496 0.000 0.750 1
```

---

# 6
Compound: Nb2GaAu
Source: Alexandria
Functional: PBE
Structure: relaxed

Formation energy from the elements   -0.211 eV/atom

Geometry as CIF:
```
data_Nb2GaAu
_chemical_formula_sum 'Nb2 Ga1 Au1'
_space_group_name_H-M_alt 'P 4/m m m'
_space_group_IT_number 123
_space_group_name_Hall '-P 4 2'
_cell_length_a 2.925
_cell_length_b 2.925
_cell_length_c 8.035
_cell_angle_alpha 90.00
_cell_angle_beta 90.00
_cell_angle_gamma 90.00
loop_
_atom_site_label
_atom_site_fract_x
_atom_site_fract_y
_atom_site_fract_z
_atom_site_occupancy
Nb1 0.000 0.000 0.237 1
Ga1 0.500 0.500 0.000 1
Au1 0.500 0.500 0.500 1
```

---

# 7
Compound: NbGaAu
Source: Alexandria
Functional: PBE
Structure: relaxed

Formation energy from the elements   0.148 eV/atom

Geometry as CIF:
```
data_NbGaAu
_chemical_formula_sum 'Nb2 Ga2 Au2'
_space_group_name_H-M_alt 'I 4 m m'
_space_group_IT_number 107
_space_group_name_Hall 'I 4 -2'
_cell_length_a 2.804
_cell_length_b 2.804
_cell_length_c 14.801
_cell_angle_alpha 90.00
_cell_angle_beta 90.00
_cell_angle_gamma 90.00
loop_
_atom_site_label
_atom_site_fract_x
_atom_site_fract_y
_atom_site_fract_z
_atom_site_occupancy
Nb1 0.000 0.000 0.000 1
Ga1 0.000 0.000 0.822 1
Au1 0.000 0.000 0.649 1
```

---

# 8
Compound: NbGaAu
Source: Alexandria
Functional: PBE
Structure: relaxed

Formation energy from the elements   -0.177 eV/atom

Geometry as CIF:
```
data_NbGaAu
_chemical_formula_sum 'Nb2 Ga2 Au2'
_space_group_name_H-M_alt 'I 4 m m'
_space_group_IT_number 107
_space_group_name_Hall 'I 4 -2'
_cell_length_a 2.999
_cell_length_b 2.999
_cell_length_c 11.409
_cell_angle_alpha 90.00
_cell_angle_beta 90.00
_cell_angle_gamma 90.00
loop_
_atom_site_label
_atom_site_fract_x
_atom_site_fract_y
_atom_site_fract_z
_atom_site_occupancy
Nb1 0.000 0.000 0.000 1
Ga1 0.000 0.000 0.664 1
Au1 0.000 0.000 0.324 1
```

---

# 9
Compound: Nb2GaAu
Source: Alexandria
Functional: PBE
Structure: relaxed

Formation energy from the elements   0.264 eV/atom

Geometry as CIF:
```
data_Nb2GaAu
_chemical_formula_sum 'Nb6 Ga3 Au3'
_space_group_name_H-M_alt 'R -3 m'
_space_group_IT_number 166
_space_group_name_Hall '-R 3 2"'
_cell_length_a 3.5084
_cell_length_b 3.5084
_cell_length_c 21.5484
_cell_angle_alpha 90.00
_cell_angle_beta 90.00
_cell_angle_gamma 120.00
loop_
_atom_site_label
_atom_site_fract_x
_atom_site_fract_y
_atom_site_fract_z
_atom_site_occupancy
Nb1 0.0000 0.0000 0.2404 1
Ga1 0.0000 0.0000 0.5000 1
Au1 0.0000 0.0000 0.0000 1
```

---

# 10
Compound: NbGa6Au
Source: Alexandria
Functional: PBE
Structure: relaxed

Formation energy from the elements   0.001 eV/atom

Geometry as CIF:
```
data_NbGa6Au
_chemical_formula_sum 'Nb2 Ga12 Au2'
_space_group_name_H-M_alt 'C 1 2/m 1'
_space_group_IT_number 12
_cell_length_a 7.664
_cell_length_b 5.557
_cell_length_c 7.873
_cell_angle_alpha 90.00
_cell_angle_beta 113.55
_cell_angle_gamma 90.00
loop_
_space_group_symop_operation_xyz
'x,y,z'
'-x,-y,-z'
'-x,y,-z'
'x,-y,z'
'x+1/2,y+1/2,z'
'-x+1/2,-y+1/2,-z'
'-x+1/2,y+1/2,-z'
'x+1/2,-y+1/2,z'
loop_
_atom_site_label
_atom_site_fract_x
_atom_site_fract_y
_atom_site_fract_z
_atom_site_occupancy
Nb1 0.000 0.000 0.000 1
Ga1 0.128 0.500 0.926 1
Ga2 0.196 0.249 0.308 1
Au1 0.000 0.000 0.500 1
```

---

# 11
Compound: Nb2GaAu
Source: Alexandria
Functional: PBE
Structure: relaxed

Formation energy from the elements   -0.225 eV/atom

Geometry as CIF:
```
data_Nb2GaAu
_chemical_formula_sum 'Nb2 Ga1 Au1'
_space_group_name_H-M_alt 'P 4/m m m'
_space_group_IT_number 123
_space_group_name_Hall '-P 4 2'
_cell_length_a 3.992
_cell_length_b 3.992
_cell_length_c 4.331
_cell_angle_alpha 90.00
_cell_angle_beta 90.00
_cell_angle_gamma 90.00
loop_
_atom_site_label
_atom_site_fract_x
_atom_site_fract_y
_atom_site_fract_z
_atom_site_occupancy
Nb1 0.000 0.500 0.000 1
Ga1 0.000 0.000 0.500 1
Au1 0.500 0.500 0.500 1
```

---

# 12
Compound: NbGaAu2
Source: Alexandria
Functional: PBE
Structure: relaxed

Formation energy from the elements   -0.094 eV/atom

Geometry as CIF:
```
data_NbGaAu2
_chemical_formula_sum 'Nb1 Ga1 Au2'
_space_group_name_H-M_alt 'P 4/m m m'
_space_group_IT_number 123
_space_group_name_Hall '-P 4 2'
_cell_length_a 3.993
_cell_length_b 3.993
_cell_length_c 4.410
_cell_angle_alpha 90.00
_cell_angle_beta 90.00
_cell_angle_gamma 90.00
loop_
_atom_site_label
_atom_site_fract_x
_atom_site_fract_y
_atom_site_fract_z
_atom_site_occupancy
Nb1 0.000 0.000 0.000 1
Ga1 0.500 0.500 0.000 1
Au1 0.000 0.500 0.500 1
```

---

# 13
Compound: Nb3GaAu
Source: Alexandria
Functional: PBE
Structure: relaxed

Formation energy from the elements   -0.102 eV/atom
Offset from the most stable computed form   0.000 eV per atom

Geometry as CIF:
```
data_Nb3GaAu
_chemical_formula_sum 'Nb24 Ga8 Au8'
_space_group_name_H-M_alt 'C 1 2/c 1'
_space_group_IT_number 15
_cell_length_a 14.262
_cell_length_b 5.163
_cell_length_c 9.883
_cell_angle_alpha 90.00
_cell_angle_beta 103.29
_cell_angle_gamma 90.00
loop_
_space_group_symop_operation_xyz
'x,y,z'
'-x,-y,-z'
'-x,y,-z+1/2'
'x,-y,z+1/2'
'x+1/2,y+1/2,z'
'-x+1/2,-y+1/2,-z'
'-x+1/2,y+1/2,-z+1/2'
'x+1/2,-y+1/2,z+1/2'
loop_
_atom_site_label
_atom_site_fract_x
_atom_site_fract_y
_atom_site_fract_z
_atom_site_occupancy
Nb1 0.053 0.250 0.009 1
Nb2 0.094 0.051 0.761 1
Nb3 0.200 0.443 0.260 1
Ga1 0.000 0.452 0.250 1
Ga2 0.250 0.250 0.000 1
Au1 0.149 0.253 0.511 1
```

---

# 14
Compound: NbGa3Au
Source: Alexandria
Functional: PBE
Structure: relaxed

Formation energy from the elements   0.711 eV/atom
Offset from the most stable computed form   0.000 eV per atom

Geometry as CIF:
```
data_NbGa3Au
_chemical_formula_sum 'Nb1 Ga3 Au1'
_space_group_name_H-M_alt 'P m -3 m'
_space_group_IT_number 221
_space_group_name_Hall '-P 4 2 3'
_cell_length_a 5.033
_cell_length_b 5.033
_cell_length_c 5.033
_cell_angle_alpha 90.00
_cell_angle_beta 90.00
_cell_angle_gamma 90.00
loop_
_atom_site_label
_atom_site_fract_x
_atom_site_fract_y
_atom_site_fract_z
_atom_site_occupancy
Nb1 0.000 0.000 0.000 1
Ga1 0.000 0.000 0.500 1
Au1 0.500 0.500 0.500 1
```

---

# 15
Compound: Nb2GaAu
Source: Alexandria
Functional: PBE
Structure: relaxed

Formation energy from the elements   0.179 eV/atom

Geometry as CIF:
```
data_Nb2GaAu
_chemical_formula_sum 'Nb8 Ga4 Au4'
_space_group_name_H-M_alt 'I -4 2 d'
_space_group_IT_number 122
_space_group_name_Hall 'I -4 2bw'
_cell_length_a 7.382
_cell_length_b 7.382
_cell_length_c 5.496
_cell_angle_alpha 90.00
_cell_angle_beta 90.00
_cell_angle_gamma 90.00
loop_
_atom_site_label
_atom_site_fract_x
_atom_site_fract_y
_atom_site_fract_z
_atom_site_occupancy
Nb1 0.244 0.250 0.125 1
Ga1 0.000 0.000 0.000 1
Au1 0.000 0.000 0.500 1
```

---

# 16
Compound: Nb3GaAu
Source: Alexandria
Functional: PBE
Structure: relaxed

Formation energy from the elements   1.451 eV/atom
Offset from the most stable computed form   1.553 eV per atom

Geometry as CIF:
```
data_Nb3GaAu
_chemical_formula_sum 'Nb3 Ga1 Au1'
_space_group_name_H-M_alt 'P m -3 m'
_space_group_IT_number 221
_space_group_name_Hall '-P 4 2 3'
_cell_length_a 4.961
_cell_length_b 4.961
_cell_length_c 4.961
_cell_angle_alpha 90.00
_cell_angle_beta 90.00
_cell_angle_gamma 90.00
loop_
_atom_site_label
_atom_site_fract_x
_atom_site_fract_y
_atom_site_fract_z
_atom_site_occupancy
Nb1 0.000 0.000 0.500 1
Ga1 0.500 0.500 0.500 1
Au1 0.000 0.000 0.000 1
```

---

# 17
Compound: Nb3GaAu
Source: Alexandria
Functional: PBE
Structure: relaxed

Formation energy from the elements   0.981 eV/atom
Offset from the most stable computed form   1.083 eV per atom

Geometry as CIF:
```
data_Nb3GaAu
_chemical_formula_sum 'Nb3 Ga1 Au1'
_space_group_name_H-M_alt 'P m -3 m'
_space_group_IT_number 221
_space_group_name_Hall '-P 4 2 3'
_cell_length_a 4.723
_cell_length_b 4.723
_cell_length_c 4.723
_cell_angle_alpha 90.00
_cell_angle_beta 90.00
_cell_angle_gamma 90.00
loop_
_atom_site_label
_atom_site_fract_x
_atom_site_fract_y
_atom_site_fract_z
_atom_site_occupancy
Nb1 0.000 0.000 0.500 1
Ga1 0.000 0.000 0.000 1
Au1 0.500 0.500 0.500 1
```

---

# 18
Compound: Nb5Ga3Au
Source: Alexandria
Functional: PBE
Structure: relaxed

Formation energy from the elements   0.325 eV/atom

Geometry as CIF:
```
data_Nb5Ga3Au
_chemical_formula_sum 'Nb20 Ga12 Au4'
_space_group_name_H-M_alt 'C 1 2/m 1'
_space_group_IT_number 12
_cell_length_a 12.212
_cell_length_b 7.766
_cell_length_c 8.349
_cell_angle_alpha 90.00
_cell_angle_beta 107.81
_cell_angle_gamma 90.00
loop_
_space_group_symop_operation_xyz
'x,y,z'
'-x,-y,-z'
'-x,y,-z'
'x,-y,z'
'x+1/2,y+1/2,z'
'-x+1/2,-y+1/2,-z'
'-x+1/2,y+1/2,-z'
'x+1/2,-y+1/2,z'
loop_
_atom_site_label
_atom_site_fract_x
_atom_site_fract_y
_atom_site_fract_z
_atom_site_occupancy
Nb1 0.000 0.168 0.000 1
Nb2 0.008 0.000 0.688 1
Nb3 0.127 0.304 0.805 1
Nb4 0.246 0.000 0.932 1
Ga1 0.000 0.500 0.000 1
Ga2 0.000 0.500 0.500 1
Ga3 0.185 0.000 0.570 1
Ga4 0.195 0.000 0.248 1
Au1 0.108 0.500 0.297 1
```

---

# 19
Compound: Nb12Ga3Au
Source: Alexandria
Functional: PBE
Structure: relaxed

Formation energy from the elements   -0.176 eV/atom

Geometry as CIF:
```
data_Nb12Ga3Au
_chemical_formula_sum 'Nb12 Ga3 Au1'
_space_group_name_H-M_alt 'P m m m'
_space_group_IT_number 47
_cell_length_a 5.213
_cell_length_b 5.223
_cell_length_c 10.405
_cell_angle_alpha 90.00
_cell_angle_beta 90.00
_cell_angle_gamma 90.00
loop_
_space_group_symop_operation_xyz
'x,y,z'
'-x,-y,-z'
'-x,-y,z'
'x,y,-z'
'x,-y,-z'
'-x,y,z'
'-x,y,-z'
'x,-y,z'
loop_
_atom_site_label
_atom_site_fract_x
_atom_site_fract_y
_atom_site_fract_z
_atom_site_occupancy
Nb1 0.000 0.000 0.123 1
Nb2 0.000 0.000 0.373 1
Nb3 0.251 0.500 0.253 1
Nb4 0.500 0.250 0.000 1
Nb5 0.500 0.250 0.500 1
Ga1 0.000 0.500 0.500 1
Ga2 0.500 0.000 0.252 1
Au1 0.000 0.500 0.000 1
```

---

# 20
Compound: Nb2Ga2Au
Source: Alexandria
Functional: PBE
Structure: relaxed

Formation energy from the elements   -0.208 eV/atom
Offset from the most stable computed form   0.000 eV per atom

Geometry as CIF:
```
data_Nb2Ga2Au
_chemical_formula_sum 'Nb4 Ga4 Au2'
_space_group_name_H-M_alt 'P 4/m b m'
_space_group_IT_number 127
_space_group_name_Hall '-P 4 2ab'
_cell_length_a 6.724
_cell_length_b 6.724
_cell_length_c 3.750
_cell_angle_alpha 90.00
_cell_angle_beta 90.00
_cell_angle_gamma 90.00
loop_
_atom_site_label
_atom_site_fract_x
_atom_site_fract_y
_atom_site_fract_z
_atom_site_occupancy
Nb1 0.175 0.325 0.000 1
Ga1 0.128 0.628 0.500 1
Au1 0.000 0.000 0.500 1
```